The following is a GGA-PBE calculation of crystalline Sc2SiTc at its relaxed geometry, from Alexandria via LeMat-Bulk.

Output
- Energy relative to the elements, uncorrected: 0.13 eV/atom
- Energy: -6.987 eV per atom
- SG: No. 122
- Total magnetization: 0.0 μB per cell

Lattice parameters (Å, degrees): 5.902 5.902 5.902 101.98 101.98 125.79
Sites, in units of the cell vectors:
Sc  0.090  0.625  0.965
Sc  0.375  0.340  0.465
Sc  0.660  0.125  0.035
Sc  0.875  0.910  0.535
Si  0.250  0.750  0.500
Si  0.500  0.500  0.000
Tc  0.000  0.000  0.000
Tc  0.750  0.250  0.500



The following is a GGA-PBE calculation of crystalline Sc2Si4Tc3 at its relaxed geometry, from Alexandria via LeMat-Bulk.

Output
- Energy relative to the elements, uncorrected: -0.41 eV/atom
- Energy: -7.682 eV per atom
- SG: No. 69
- Total magnetization: 0.0 μB per cell

Lattice parameters (Å, degrees): 7.576 6.644 5.237 78.26 59.15 42.59
Sites, in units of the cell vectors:
Sc  0.135  0.135  0.865
Sc  0.865  0.865  0.135
Si  0.164  0.505  0.495
Si  0.495  0.836  0.164
Si  0.505  0.164  0.836
Si  0.836  0.495  0.505
Tc  0.000  0.000  0.500
Tc  0.500  0.500  0.000
Tc  0.500  0.500  0.500



The following is a GGA-PBE calculation of crystalline Sc4Si5Tc2 at its relaxed geometry, from Alexandria via LeMat-Bulk.

Output
- Energy relative to the elements, uncorrected: -0.67 eV/atom
- Energy: -7.321 eV per atom
- SG: No. 72
- Total magnetization: 0.0 μB per cell

Lattice parameters (Å, degrees): 9.756 9.756 9.756 130.78 59.44 148.80
Sites, in units of the cell vectors:
Sc  0.062  0.736  0.798
Sc  0.144  0.114  0.258
Sc  0.356  0.614  0.970
Sc  0.438  0.236  0.675
Sc  0.562  0.764  0.325
Sc  0.644  0.386  0.030
Sc  0.856  0.886  0.742
Sc  0.938  0.264  0.202
Si  0.073  0.409  0.482
Si  0.214  0.799  0.014
Si  0.250  0.250  0.000
Si  0.286  0.299  0.585
Si  0.427  0.909  0.336
Si  0.573  0.091  0.664
Si  0.714  0.701  0.415
Si  0.750  0.750  0.000
Si  0.786  0.201  0.986
Si  0.927  0.591  0.518
Tc  0.058  0.750  0.308
Tc  0.442  0.750  0.692
Tc  0.558  0.250  0.308
Tc  0.942  0.250  0.692



The following is a GGA-PBE calculation of crystalline ScSiTc3 at its relaxed geometry, from Alexandria via LeMat-Bulk.

Output
- Energy relative to the elements, uncorrected: 1.90 eV/atom
- Energy: -6.667 eV per atom
- SG: No. 221
- Total magnetization: 3.3 μB per cell

Lattice parameters (Å, degrees): 4.590 4.590 4.590 90.00 90.00 90.00
Sites, in units of the cell vectors:
Sc  0.000  0.000  0.000
Si  0.500  0.500  0.500
Tc  0.000  0.000  0.500
Tc  0.000  0.500  0.000
Tc  0.500  0.000  0.000



Please write out number 2 again, unchanged.
The following is a GGA-PBE calculation of crystalline Sc2Si4Tc3 at its relaxed geometry, from Alexandria via LeMat-Bulk.

Output
- Energy relative to the elements, uncorrected: -0.41 eV/atom
- Energy: -7.682 eV per atom
- SG: No. 69
- Total magnetization: 0.0 μB per cell

Lattice parameters (Å, degrees): 7.576 6.644 5.237 78.26 59.15 42.59
Sites, in units of the cell vectors:
Sc  0.135  0.135  0.865
Sc  0.865  0.865  0.135
Si  0.164  0.505  0.495
Si  0.495  0.836  0.164
Si  0.505  0.164  0.836
Si  0.836  0.495  0.505
Tc  0.000  0.000  0.500
Tc  0.500  0.500  0.000
Tc  0.500  0.500  0.500



Copy entry 4 word for word.
The following is a GGA-PBE calculation of crystalline ScSiTc3 at its relaxed geometry, from Alexandria via LeMat-Bulk.

Output
- Energy relative to the elements, uncorrected: 1.90 eV/atom
- Energy: -6.667 eV per atom
- SG: No. 221
- Total magnetization: 3.3 μB per cell

Lattice parameters (Å, degrees): 4.590 4.590 4.590 90.00 90.00 90.00
Sites, in units of the cell vectors:
Sc  0.000  0.000  0.000
Si  0.500  0.500  0.500
Tc  0.000  0.000  0.500
Tc  0.000  0.500  0.000
Tc  0.500  0.000  0.000